[1]
## LaAl2Te (PBE)

Data for a relaxed structure of LaAl2Te.

Calculated values
- formation energy from raw total energies (eV/atom) = -0.36

POSCAR file:
```
LaAl2Te
1.0
-0.291 0.498 -4.383
5.579 -3.072 1.522
-0.525 -4.369 -0.439
Te Al La
1 2 1
direct
0.500 0.500 0.000
0.000 0.000 0.000
0.500 0.000 0.500
0.000 0.500 0.500
```

[2]
## LaAlTe3 (PBE)

Data for a relaxed structure of LaAlTe3.

Calculated values
- formation energy from raw total energies (eV/atom) = -0.60
- distance to the lowest polymorph of the same formula (eV/atom) = 0.355

POSCAR file:
```
LaAlTe3
1.0
-1.318 2.327 4.662
4.145 -2.445 2.393
3.157 4.182 -1.195
La Al Te
1 1 3
direct
0.500 0.500 0.500
0.000 0.000 0.000
0.000 0.500 0.000
0.000 0.000 0.500
0.500 0.000 0.000
```

[3]
## LaAl2Te (PBE)

Data for a relaxed structure of LaAl2Te.

Calculated values
- formation energy from raw total energies (eV/atom) = -0.20

POSCAR file:
```
LaAl2Te
1.0
-3.960 -1.818 -7.160
-5.783 -4.292 4.288
-6.593 -0.445 -1.146
Te Al La
2 4 2
direct
0.500 0.500 0.000
0.250 0.750 0.500
0.598 0.125 0.250
0.152 0.625 0.250
0.375 0.402 0.750
0.875 0.848 0.750
0.000 0.000 0.000
0.750 0.250 0.500
```

[4]
## LaAl2Te (PBE)

Data for a relaxed structure of LaAl2Te.

Calculated values
- formation energy from raw total energies (eV/atom) = -0.47

POSCAR file:
```
LaAl2Te
1.0
4.552 0.000 0.000
0.000 4.552 0.000
0.000 0.000 4.766
Te Al La
1 2 1
direct
0.000 0.500 0.500
0.000 0.000 0.000
0.500 0.500 0.000
0.500 0.000 0.500
```

[5]
## La3AlTl3Te8 (PBE)

Data for a relaxed structure of La3AlTl3Te8.

Calculated values
- formation energy from raw total energies (eV/atom) = -0.90

POSCAR file:
```
La3AlTl3Te8
1.0
-1.437 0.151 -9.050
2.092 -7.882 4.177
-8.695 3.774 1.447
La Al Tl Te
3 1 3 8
direct
0.500 0.000 0.500
0.500 0.500 0.500
0.000 0.500 0.500
0.000 0.000 0.500
0.000 0.000 0.000
0.000 0.500 0.000
0.500 0.500 0.000
0.258 0.516 0.274
0.742 0.484 0.726
0.783 0.566 0.295
0.217 0.434 0.705
0.783 0.012 0.295
0.217 0.988 0.705
0.229 0.012 0.295
0.771 0.988 0.705
```

[6]
## La2AlTlTe (PBE)

Data for a relaxed structure of La2AlTlTe.

Calculated values
- formation energy from raw total energies (eV/atom) = -0.01

POSCAR file:
```
La2AlTlTe
1.0
-2.835 4.624 2.059
-0.611 -2.446 4.653
5.017 2.255 1.844
Tl Te Al La
1 1 1 2
direct
0.500 0.500 0.500
0.000 0.500 0.000
0.000 0.000 0.000
0.000 0.000 0.500
0.500 0.000 0.000
```

no.,spin magnetization (μB per formula unit),total energy (eV per atom),N(E_F) (states/eV/cell)
1,0.00,-4.2502,2.217
2,0.00,-4.2220,2.682
3,0.00,-4.0866,9.060
4,0.00,-4.3554,1.806
5,0.00,-4.2854,7.171
6,0.00,-3.8261,7.958